Record 1
This record from Alexandria describes crystalline Hf3ReIr at its relaxed geometry. The functional is PBEsol.

```
data_Hf3ReIr
_space_group_name_H-M_alt 'P m -3 m'
_space_group_IT_number 221
_space_group_name_Hall '-P 4 2 3'
_cell_length_a 4.8587
_cell_length_b 4.8587
_cell_length_c 4.8587
_cell_angle_alpha 90.00
_cell_angle_beta 90.00
_cell_angle_gamma 90.00
loop_
_atom_site_label
_atom_site_fract_x
_atom_site_fract_y
_atom_site_fract_z
_atom_site_occupancy
Hf1 0.0000 0.0000 0.5000 1
Re1 0.0000 0.0000 0.0000 1
Ir1 0.5000 0.5000 0.5000 1
```

Results
Total magnetization, μB/cell: 0.0
Energy relative to the elements, meV/atom: 960
V, A^3/atom: 22.94

Record 2
This record from Alexandria describes crystalline Hf2ReIr at its relaxed geometry. The functional is PBEsol.

```
data_Hf2ReIr
_space_group_name_H-M_alt 'F m -3 m'
_space_group_IT_number 225
_space_group_name_Hall '-F 4 2 3'
_cell_length_a 6.4569
_cell_length_b 6.4569
_cell_length_c 6.4569
_cell_angle_alpha 90.00
_cell_angle_beta 90.00
_cell_angle_gamma 90.00
loop_
_atom_site_label
_atom_site_fract_x
_atom_site_fract_y
_atom_site_fract_z
_atom_site_occupancy
Hf1 0.2500 0.2500 0.2500 1
Re1 0.0000 0.0000 0.0000 1
Ir1 0.0000 0.0000 0.5000 1
```

Results
Total magnetization, μB/cell: 0.0
Energy relative to the elements, meV/atom: -744
V, A^3/atom: 16.83

Record 3
This record from Alexandria describes crystalline Hf2IrRh at its relaxed geometry. The functional is PBEsol.

```
data_Hf2IrRh
_space_group_name_H-M_alt 'F m -3 m'
_space_group_IT_number 225
_space_group_name_Hall '-F 4 2 3'
_cell_length_a 6.4634
_cell_length_b 6.4634
_cell_length_c 6.4634
_cell_angle_alpha 90.00
_cell_angle_beta 90.00
_cell_angle_gamma 90.00
loop_
_atom_site_label
_atom_site_fract_x
_atom_site_fract_y
_atom_site_fract_z
_atom_site_occupancy
Hf1 0.2500 0.2500 0.2500 1
Ir1 0.0000 0.0000 0.0000 1
Rh1 0.0000 0.0000 0.5000 1
```

Results
Total magnetization, μB/cell: 0.0
Energy relative to the elements, meV/atom: -895
V, A^3/atom: 16.88

Record 4
This record from Alexandria describes crystalline Hf2IrRu at its relaxed geometry. The functional is PBEsol.

```
data_Hf2IrRu
_space_group_name_H-M_alt 'F m -3 m'
_space_group_IT_number 225
_space_group_name_Hall '-F 4 2 3'
_cell_length_a 6.4371
_cell_length_b 6.4371
_cell_length_c 6.4371
_cell_angle_alpha 90.00
_cell_angle_beta 90.00
_cell_angle_gamma 90.00
loop_
_atom_site_label
_atom_site_fract_x
_atom_site_fract_y
_atom_site_fract_z
_atom_site_occupancy
Hf1 0.2500 0.2500 0.2500 1
Ir1 0.0000 0.0000 0.0000 1
Ru1 0.0000 0.0000 0.5000 1
```

Results
Total magnetization, μB/cell: 0.0
Energy relative to the elements, meV/atom: -826
V, A^3/atom: 16.67

Record 5
This record from Alexandria describes crystalline HfIrS2 at its relaxed geometry. The functional is PBEsol.

```
data_HfIrS2
_space_group_name_H-M_alt 'R -3 m'
_space_group_IT_number 166
_space_group_name_Hall '-R 3 2"'
_cell_length_a 3.4312
_cell_length_b 3.4312
_cell_length_c 22.6391
_cell_angle_alpha 90.00
_cell_angle_beta 90.00
_cell_angle_gamma 120.00
loop_
_atom_site_label
_atom_site_fract_x
_atom_site_fract_y
_atom_site_fract_z
_atom_site_occupancy
Hf1 0.0000 0.0000 0.0000 1
Ir1 0.0000 0.0000 0.5000 1
S1 0.0000 0.0000 0.1110 1
```

Results
Total magnetization, μB/cell: 0.0
Formation energy (no corrections), meV/atom: -241
V, A^3/atom: 19.24

Record 6
This record from Alexandria describes crystalline HfSb2TeIr at its relaxed geometry. The functional is PBEsol.

```
data_HfSb2TeIr
_space_group_name_H-M_alt 'P 4/m m m'
_space_group_IT_number 123
_space_group_name_Hall '-P 4 2'
_cell_length_a 5.0168
_cell_length_b 5.0168
_cell_length_c 5.2753
_cell_angle_alpha 90.00
_cell_angle_beta 90.00
_cell_angle_gamma 90.00
loop_
_atom_site_label
_atom_site_fract_x
_atom_site_fract_y
_atom_site_fract_z
_atom_site_occupancy
Hf1 0.0000 0.0000 0.0000 1
Sb1 0.0000 0.5000 0.5000 1
Te1 0.5000 0.5000 0.0000 1
Ir1 0.5000 0.5000 0.5000 1
```

Results
Total magnetization, μB/cell: 0.0
Formation energy (no corrections), meV/atom: 678
V, A^3/atom: 26.55

Record 7
This record from Alexandria describes crystalline Hf2Si2Ir at its relaxed geometry. The functional is PBEsol.

```
data_Hf2Si2Ir
_space_group_name_H-M_alt 'P 4/m b m'
_space_group_IT_number 127
_space_group_name_Hall '-P 4 2ab'
_cell_length_a 6.2063
_cell_length_b 6.2063
_cell_length_c 4.1281
_cell_angle_alpha 90.00
_cell_angle_beta 90.00
_cell_angle_gamma 90.00
loop_
_atom_site_label
_atom_site_fract_x
_atom_site_fract_y
_atom_site_fract_z
_atom_site_occupancy
Hf1 0.1686 0.3314 0.0000 1
Si1 0.1351 0.6351 0.5000 1
Ir1 0.0000 0.0000 0.5000 1
```

Results
Total magnetization, μB/cell: 0.0
Formation energy (no corrections), meV/atom: -1046
V, A^3/atom: 15.90

Record 8
This record from Alexandria describes crystalline Sr2HfIr at its relaxed geometry. The functional is PBEsol.

```
data_Sr2HfIr
_space_group_name_H-M_alt 'F m -3 m'
_space_group_IT_number 225
_space_group_name_Hall '-F 4 2 3'
_cell_length_a 7.3632
_cell_length_b 7.3632
_cell_length_c 7.3632
_cell_angle_alpha 90.00
_cell_angle_beta 90.00
_cell_angle_gamma 90.00
loop_
_atom_site_label
_atom_site_fract_x
_atom_site_fract_y
_atom_site_fract_z
_atom_site_occupancy
Sr1 0.2500 0.2500 0.2500 1
Hf1 0.0000 0.0000 0.0000 1
Ir1 0.0000 0.0000 0.5000 1
```

Results
Total magnetization, μB/cell: 0.1
Energy relative to the elements, meV/atom: 809
V, A^3/atom: 24.95

In states/eV/cell, the D(E_F) values for the records above are, in order, 5.55; 3.12; 13.41; 13.64; 9.79; 6.38; 4.40; 19.92.